(1)
Compound: CaSiN3
Source: Alexandria
Functional: GGA-PBE
Structure: relaxed

## Properties
Magnetic moment ... 1.00 μB per atom
Energy relative to the elements, uncorrected ... 1067 kJ/mol of formula units

The structure in POSCAR format:
```
CaSiN3
1.0
4.4143 0.0000 0.0000
0.0000 4.4143 0.0000
0.0000 0.0000 4.4143
Ca Si N
1 1 3
Cartesian
0.0000 0.0000 0.0000 Ca
2.2072 2.2072 2.2072 Si
0.0000 2.2072 0.0000 N
0.0000 0.0000 2.2072 N
2.2072 0.0000 0.0000 N
```

***

(2)
Compound: Ca2Si5N8
Source: Alexandria
Functional: GGA-PBE
Structure: relaxed

## Properties
Magnetic moment ... 0.00 μB per atom
Energy relative to the elements, uncorrected ... -1761 kJ/mol of formula units

The structure in POSCAR format:
```
Ca2Si5N8
1.0
-8.6280 3.4658 2.8025
-4.6567 -9.0702 -3.1196
1.9317 -5.2854 12.4837
Ca Si N
16 40 64
Cartesian
-2.5079 -2.5532 7.0423 Ca
-3.6162 -3.8718 12.4812 Ca
-3.4827 -10.9816 4.8591 Ca
-7.4247 -1.3171 0.8163 Ca
-10.7892 -2.8277 1.9317 Ca
-6.5351 -6.7913 7.1055 Ca
-3.2569 -7.5876 4.5766 Ca
-8.0962 -3.3021 7.5899 Ca
-1.8365 -0.5682 0.2687 Ca
-7.8703 0.0918 7.3074 Ca
-3.9283 -9.5727 11.3503 Ca
-9.5166 -10.3216 11.8979 Ca
-8.8451 -8.3365 5.1242 Ca
-7.7368 -7.0180 -0.3147 Ca
-0.5639 -8.0621 10.2348 Ca
-4.8180 -4.0985 5.0610 Ca
1.3976 -4.3559 9.8218 Si
-5.0514 -6.7814 9.7928 Si
-8.6635 -4.0352 0.2431 Si
-6.8136 -6.9542 3.2822 Si
-2.6896 -6.8546 11.9235 Si
-2.9752 -6.1024 7.6493 Si
-7.3168 -1.9705 4.4187 Si
-10.2636 -2.4330 4.9302 Si
-1.0895 -8.4568 7.2364 Si
-9.2209 0.1997 3.8494 Si
-7.5385 -10.8823 7.2073 Si
-11.1848 -5.3327 4.6451 Si
-3.8146 -0.0075 4.9592 Si
-8.3779 -4.7874 4.5173 Si
-5.8267 -9.1769 5.1373 Si
-5.5264 -1.7128 7.0292 Si
-1.6138 -4.6416 9.9155 Si
-7.8475 -7.2552 10.9006 Si
-9.7392 -6.2482 2.2510 Si
-3.5056 -3.6346 1.2660 Si
-1.9562 -4.8945 5.1297 Si
-6.7257 -4.4627 10.7823 Si
-5.4500 -9.2202 2.1874 Si
-4.0363 -8.9193 7.7478 Si
-4.8497 -1.4218 2.4864 Si
-9.1481 -8.7404 8.6146 Si
-6.2598 -3.6730 13.8230 Si
-9.3969 -5.9953 7.0368 Si
-2.1322 -11.0894 8.3172 Si
-4.9196 -11.6880 8.5707 Si
-5.0933 -7.2168 -1.6565 Si
-4.6274 -6.4271 1.3843 Si
-4.5395 -3.9356 8.8844 Si
-5.9030 -1.6696 9.9791 Si
-2.2049 -2.1494 3.5520 Si
-6.4334 0.7982 3.5958 Si
-6.3016 -4.1083 2.3737 Si
-6.5034 -9.4680 9.6801 Si
-12.7506 -6.5338 2.3447 Si
-0.1683 -5.5570 7.5215 Si
-4.5220 -8.8263 -1.5700 N
-4.3955 -9.1050 6.1072 N
-0.5231 -4.7114 6.0942 N
-4.4245 -2.6605 10.1055 N
-7.4637 -7.7289 12.4923 N
-4.7849 -3.1888 2.4273 N
-9.2870 -8.1150 10.2721 N
-5.7102 -5.7559 2.6210 N
-6.6160 1.6639 2.1389 N
-6.9576 -1.7848 6.0594 N
-1.6051 -5.9013 3.7928 N
-3.4897 -0.9257 3.4839 N
-6.8311 -2.0635 13.7365 N
-4.1358 -8.0175 2.0061 N
-1.3567 -6.8206 7.8694 N
-11.2238 -6.3595 3.2186 N
-4.2195 -0.8578 6.3327 N
-9.7961 -4.9241 1.2028 N
-7.1363 -3.7828 0.9699 N
-2.0661 -2.7747 1.8944 N
-5.3575 -10.0497 3.6736 N
-6.5132 -10.1672 11.2257 N
-6.9285 -8.2293 2.0611 N
-1.7486 -3.1041 10.8320 N
-9.9964 -4.0691 4.2972 N
-9.3394 0.6490 2.2178 N
-10.8300 -6.1784 6.0723 N
-4.8399 -0.7226 0.9408 N
-4.2167 -7.1070 11.1967 N
-3.8893 -3.1609 -0.3258 N
-2.0137 -11.5388 9.9488 N
-4.7371 -12.5536 10.0277 N
-7.2173 -2.8722 10.1604 N
-6.3305 -7.5500 4.7954 N
-5.0226 -3.3397 7.3712 N
-5.6429 -5.1339 9.5456 N
-4.2339 -7.2096 8.2576 N
-5.9956 -0.8401 8.4929 N
-0.6820 -1.2778 3.9300 N
-9.0032 -1.5293 4.0815 N
-5.0105 -9.9209 8.8458 N
-7.8634 -9.9640 8.6827 N
-6.3426 -0.9689 3.3207 N
-9.6045 -7.7857 1.3346 N
-5.9745 -4.4344 12.2956 N
-8.0841 -5.2249 6.1382 N
-10.6710 -9.6120 8.2366 N
-2.5401 -3.3161 4.7275 N
-7.1336 -10.0319 5.8339 N
-0.1293 -4.5303 8.9479 N
-3.2689 -5.6649 6.0283 N
-2.9407 -4.6781 8.7341 N
-7.1191 -3.6801 3.9089 N
-1.5570 -5.9657 10.9637 N
-6.5682 -7.7009 9.7392 N
-8.1857 -5.5065 10.8109 N
-3.1674 -5.3833 1.3556 N
-5.3786 -6.4554 -0.1291 N
-8.4123 -6.2117 3.4325 N
-2.3498 -9.3605 8.0851 N
-3.5004 -11.8611 7.5032 N
-7.8527 0.9713 4.6634 N
-9.7479 -4.9885 8.3737 N
-8.8130 -7.5737 7.4391 N
```

***

(3)
Compound: CaSiN3
Source: Alexandria
Functional: GGA-PBE
Structure: relaxed

## Properties
Magnetic moment ... 0.00 μB per atom
Energy relative to the elements, uncorrected ... -62 kJ/mol of formula units

The structure in POSCAR format:
```
CaSiN3
1.0
-0.7058 -2.8144 2.2500
2.4837 -2.0410 -1.7740
2.6105 1.1810 2.2961
Ca Si N
1 1 3
Cartesian
2.1942 -1.8372 1.3861 Ca
0.0000 0.0000 0.0000 Si
1.2419 -1.0205 -0.8870 N
1.3052 0.5905 1.1481 N
-0.3529 -1.4072 1.1250 N
```

***

(4)
Compound: Ca5SiN6
Source: Alexandria
Functional: GGA-PBE
Structure: relaxed

## Properties
Magnetic moment ... 0.33 μB per atom
Energy relative to the elements, uncorrected ... -455 kJ/mol of formula units

The structure in POSCAR format:
```
Ca5SiN6
1.0
6.0705 0.1462 0.0000
1.8615 5.4383 0.0000
0.9307 2.7192 5.1005
Ca Si N
5 1 6
Cartesian
3.9660 2.7922 3.3357 Ca
0.9307 2.7192 1.7143 Ca
3.9660 2.7922 0.0000 Ca
1.8615 5.4383 3.3861 Ca
4.8967 5.5114 1.7648 Ca
0.0000 0.0000 0.0000 Si
5.0935 1.3062 1.4920 N
2.8384 4.2783 1.4920 N
1.5412 0.9816 0.0000 N
6.3908 4.6029 0.0000 N
6.0242 4.0254 3.6085 N
3.7692 6.9974 3.6085 N
```